# CePm5N5

An optimized crystal structure of CePm5N5 (PBE, Alexandria via LeMat-Bulk).

POSCAR file:
```
CePm5N5
1.0
-3.530 -2.195 2.976
4.704 -3.799 -1.612
2.290 3.923 5.610
N Pm Ce
5 5 1
Direct
0.834 0.668 0.165
0.500 0.000 0.000
0.166 0.332 0.835
0.162 0.324 0.327
0.838 0.676 0.673
0.672 0.343 0.845
0.328 0.657 0.155
0.675 0.349 0.328
0.325 0.651 0.672
0.000 0.000 0.500
0.000 0.000 0.000
```

Output
N(E_F): 0.543 states/eV per atom
Raw formation energy: -1.31 eV/atom
Final energy: -7.794 eV/atom
Total moment: 0.39 μB/cell
SG: C2/m